Version A
The following is a DFT calculation (GGA-PBE) of a geometry-optimized PmNdHoAl structure.

**Symmetry**: P4mm, No. 99
**Crystal system**: tetragonal

Unit cell a=3.552 b=3.552 c=9.252 alpha=90.00 beta=90.00 gamma=90.00
Atoms (fractional coordinates):
Pm (0.000, 0.000, 0.000)
Nd (0.500, 0.500, 0.299)
Ho (0.000, 0.000, 0.580)
Al (0.500, 0.500, 0.783)

---

Version B
The following is a DFT calculation (GGA-PBE) of a geometry-optimized PmNdHoAl structure.

**Symmetry**: F-43m, No. 216
**Crystal system**: cubic

Unit cell a=5.440 b=5.440 c=5.440 alpha=60.00 beta=60.00 gamma=60.00
Atoms (fractional coordinates):
Pm (0.000, 0.000, 0.000)
Nd (0.500, 0.500, 0.500)
Ho (0.750, 0.750, 0.750)
Al (0.250, 0.250, 0.250)

---

Quick one: least stable of them? version B

---

Version A
The following is a DFT calculation (GGA-PBE) of a geometry-optimized NdSmHoAl structure.

**Symmetry**: P4mm, No. 99
**Crystal system**: tetragonal

Unit cell a=3.549 b=3.549 c=9.217 alpha=90.00 beta=90.00 gamma=90.00
Atoms (fractional coordinates):
Nd (0.000, 0.000, 0.000)
Sm (0.500, 0.500, 0.703)
Ho (0.500, 0.500, 0.283)
Al (0.000, 0.000, 0.487)

---

Version B
The following is a DFT calculation (GGA-PBE) of a geometry-optimized NdSmHoAl structure.

**Symmetry**: F-43m, No. 216
**Crystal system**: cubic

Unit cell a=5.430 b=5.430 c=5.430 alpha=60.00 beta=60.00 gamma=60.00
Atoms (fractional coordinates):
Nd (0.000, 0.000, 0.000)
Sm (0.500, 0.500, 0.500)
Ho (0.250, 0.250, 0.250)
Al (0.750, 0.750, 0.750)

---

Quick one: least stable of them? version B